Entry 1:
VASP calculation (GGA-PBE) on crystalline GdHoAu at its relaxed geometry.

Cell: 6.876 6.876 6.876 Å, 90.00 90.00 90.00°
Space group F-43m (No. 216)
Unique sites:
Gd (0.000, 0.000, 0.000)
Ho (0.250, 0.250, 0.250)
Au (0.250, 0.250, 0.750)

Output
- ΔE to the lowest computed polymorph: 0.8001 eV/atom
- Formation energy from the elements: 0.1652 eV per atom
- Magnetic moment: 0.001 μB/cell

Entry 2:
VASP calculation (GGA-PBE) on crystalline GdHoAu at its relaxed geometry.

Cell: 7.099 4.947 8.927 Å, 90.00 90.00 90.00°
Space group Pnma (No. 62)
Unique sites:
Gd (0.012, 0.250, 0.178)
Ho (0.151, 0.250, 0.581)
Au (0.246, 0.250, 0.901)

Output
- ΔE to the lowest computed polymorph: 0.0000 eV/atom
- Formation energy from the elements: -0.6350 eV per atom
- Magnetic moment: 0.022 μB/cell

Entry 3:
VASP calculation (GGA-PBE) on crystalline GdHoAu at its relaxed geometry.

Cell: 7.043 4.966 8.984 Å, 90.00 90.00 90.00°
Space group Pnma (No. 62)
Unique sites:
Gd (0.152, 0.250, 0.082)
Ho (0.011, 0.250, 0.677)
Au (0.237, 0.250, 0.402)

Output
- ΔE to the lowest computed polymorph: 0.0117 eV/atom
- Formation energy from the elements: -0.6233 eV per atom
- Magnetic moment: 0.024 μB/cell

Entry 4:
VASP calculation (GGA-PBE) on crystalline Gd2HoIn3Ni2Au at its relaxed geometry.

Cell: 3.932 13.071 7.546 Å, 90.00 90.00 90.00°
Space group Amm2 (No. 38)
Unique sites:
Gd (0.000, 0.204, 0.000)
Ho (0.000, 0.000, 0.386)
In (0.500, 0.000, 0.068)
In (0.500, 0.136, 0.658)
Ni (0.500, 0.166, 0.295)
Au (0.000, 0.000, 0.793)

Output
- Magnetic moment: 0.005 μB/cell
- DFT total energy: -83.0 eV/cell

Entry 5:
VASP calculation (GGA-PBE) on crystalline GdHo2In3Pd2Au at its relaxed geometry.

Cell: 3.826 13.522 7.790 Å, 90.00 90.00 90.00°
Space group Amm2 (No. 38)
Unique sites:
Gd (0.000, 0.000, 0.000)
Ho (0.000, 0.203, 0.609)
In (0.500, 0.000, 0.675)
In (0.500, 0.135, 0.272)
Pd (0.500, 0.168, 0.906)
Au (0.000, 0.000, 0.407)

Output
- Magnetic moment: 0.024 μB/cell
- DFT total energy: -85.3 eV/cell

Entry 6:
VASP calculation (GGA-PBE) on crystalline GdHo2In3Pt2Au at its relaxed geometry.

Cell: 3.807 13.506 7.777 Å, 90.00 90.00 90.00°
Space group Amm2 (No. 38)
Unique sites:
Gd (0.000, 0.000, 0.000)
Ho (0.000, 0.204, 0.388)
In (0.500, 0.000, 0.324)
In (0.500, 0.135, 0.726)
Pt (0.500, 0.168, 0.093)
Au (0.000, 0.000, 0.592)

Output
- Magnetic moment: 0.010 μB/cell
- DFT total energy: -91.2 eV/cell

Entry 7:
VASP calculation (GGA-PBE) on crystalline GdHoMg2Au4 at its relaxed geometry.

Cell: 4.928 6.794 4.939 Å, 90.00 90.00 90.00°
Space group Pmm2 (No. 25)
Unique sites:
Gd (0.000, 0.000, 0.000)
Ho (0.500, 0.500, 0.521)
Mg (0.000, 0.500, 0.009)
Mg (0.500, 0.000, 0.511)
Au (0.000, 0.253, 0.500)
Au (0.500, 0.256, 0.022)

Output
- Magnetic moment: 0.004 μB/cell
- DFT total energy: -31.6 eV/cell

Entry 8:
VASP calculation (GGA-PBE) on crystalline GdHoMg2Au4 at its relaxed geometry.

Cell: 4.874 4.874 6.894 Å, 90.00 90.00 90.00°
Space group P4/mmm (No. 123)
Unique sites:
Gd (0.000, 0.000, 0.000)
Ho (0.500, 0.500, 0.500)
Mg (0.000, 0.000, 0.500)
Mg (0.500, 0.500, 0.000)
Au (0.000, 0.500, 0.254)

Output
- Magnetic moment: 0.003 μB/cell
- DFT total energy: -31.6 eV/cell

Entry 9:
VASP calculation (GGA-PBE) on crystalline GdHoAu2O4 at its relaxed geometry.

Cell: 3.5469 3.5469 12.2095 Å, 90.00 90.00 120.00°
Space group P-3m1 (No. 164)
Unique sites:
Gd (0.0000, 0.0000, 0.0000)
Ho (0.0000, 0.0000, 0.5000)
Au (0.3333, 0.6667, 0.2519)
O (0.3333, 0.6667, 0.0848)
O (0.3333, 0.6667, 0.4189)

Output
- Magnetic moment: 0.001 μB/cell
- DFT total energy: -53.4 eV/cell

Entry 10:
VASP calculation (GGA-PBE) on crystalline GdHoPb2Au2 at its relaxed geometry.

Cell: 4.7938 4.7938 7.5617 Å, 90.00 90.00 120.00°
Space group P3m1 (No. 156)
Unique sites:
Gd (0.0000, 0.0000, 0.0000)
Ho (0.0000, 0.0000, 0.5009)
Pb (0.3333, 0.6667, 0.2730)
Pb (0.6667, 0.3333, 0.7721)
Au (0.3333, 0.6667, 0.6627)
Au (0.6667, 0.3333, 0.1684)

Output
- Magnetic moment: 0.000 μB/cell
- DFT total energy: -26.9 eV/cell

Entry 11:
VASP calculation (GGA-PBE) on crystalline GdHoSi2Au2 at its relaxed geometry.

Cell: 4.3233 4.3233 7.6813 Å, 90.00 90.00 120.00°
Space group P3m1 (No. 156)
Unique sites:
Gd (0.0000, 0.0000, 0.0000)
Ho (0.0000, 0.0000, 0.4992)
Si (0.3333, 0.6667, 0.7217)
Si (0.6667, 0.3333, 0.2256)
Au (0.3333, 0.6667, 0.2704)
Au (0.6667, 0.3333, 0.7602)

Output
- Magnetic moment: 0.007 μB/cell
- DFT total energy: -31.5 eV/cell

Entry 12:
VASP calculation (GGA-PBE) on crystalline GdHoTlAu2 at its relaxed geometry.

Cell: 3.577 4.549 14.829 Å, 90.00 90.00 90.00°
Space group Amm2 (No. 38)
Unique sites:
Gd (0.000, 0.000, 0.000)
Ho (0.000, 0.000, 0.261)
Tl (0.500, 0.000, 0.630)
Au (0.500, 0.000, 0.433)
Au (0.500, 0.000, 0.824)

Output
- Magnetic moment: 0.016 μB/cell
- DFT total energy: -42.9 eV/cell